## Hg2SeI (PBE)

Data for a geometry-optimized Hg2SeI structure.

Geometry as POSCAR:
```
Hg2SeI
1.0
6.835 -0.017 0.013
1.871 6.719 0.013
1.818 3.110 6.798
Hg Se I
4 2 2
direct
0.661 0.813 0.281 Hg
0.270 0.521 0.135 Hg
0.494 0.043 0.719 Hg
0.978 0.277 0.270 Hg
0.807 0.931 0.482 Se
0.619 0.658 0.056 Se
0.480 0.455 0.718 I
0.073 0.011 0.826 I
```

Summary:
The value obtained for the total energy is -1.58 eV per atom.